Density functional theory data (PBE) for an optimized crystal structure of BeCoPt2S.

abc: 4.502 4.502 4.004
angles: 90.00 90.00 90.00
Space group P4/mmm (No. 123)
Asymmetric unit:
Be: 0.000 0.000 0.000 x1
Co: 0.500 0.500 0.000 x1
Pt: 0.000 0.500 0.500 x2
S: 0.500 0.500 0.500 x1

Output
The calculation puts the raw formation energy at 2.6 eV/f.u. For the density of states at the Fermi level, the calculation gives 0.800 states/eV/atom. As for the total DFT energy (no corrections): -4.8932 eV/atom. The total magnetic moment comes out at 0.20 μB/atom. The mass density is 10.0 g/cm3. Its crystal system is tetragonal.